A plane-wave DFT calculation with PBE was carried out for a relaxed structure of TcHgSb2.

Summary:
DFT total energy in eV/atom: -4.40
SG: P4mm (99)

Unit cell a=3.2265 b=3.2265 c=8.6464 alpha=90.00 beta=90.00 gamma=90.00
Fractional positions:
Sb (0.5000, 0.5000, 0.3137)
Sb (0.0000, 0.0000, 0.9937)
Hg (0.5000, 0.5000, 0.7064)
Tc (0.0000, 0.0000, 0.4862)